A plane-wave DFT calculation with GGA-PBE was carried out for an optimized crystal structure of AcGaIr2C.

abc: 4.247 6.091 7.457
angles: 90.00 90.00 110.41
Positions (direct):
Ir  0.160  0.321  0.557
Ir  0.840  0.679  0.443
Ga  0.273  0.547  0.250
Ir  0.160  0.321  0.943
Ir  0.840  0.679  0.057
C  0.000  0.000  0.500
Ac  0.557  0.114  0.250
Ac  0.443  0.886  0.750
C  0.000  0.000  0.000
Ga  0.727  0.453  0.750

Fermi-level density of states ... 4.1 states/eV per cell
DFT formation energy ... -0.455 eV per atom